VASP calculation (PBE) on a geometry-optimized Cu2Bi2Se5 structure.

Summary:
DOS at the Fermi energy: 0.417 states/eV per atom
Uncorrected formation energy: -141 meV/atom

Structure (POSCAR):
```
Cu2Bi2Se5
1.0
6.814 -2.391 0.000
6.814 2.391 0.000
-3.493 0.000 6.932
Cu Bi Se
2 2 5
Direct
0.138 0.138 0.352
0.862 0.862 0.648
0.381 0.381 0.218
0.619 0.619 0.782
0.000 0.000 0.500
0.146 0.146 0.040
0.351 0.351 0.574
0.649 0.649 0.426
0.854 0.854 0.960
```